Below is crystalline LiErGaCu at its relaxed geometry, with properties calculated at the PBE level.

a = 4.537 Å, b = 4.537 Å, c = 4.537 Å
α = 60.00°, β = 60.00°, γ = 60.00°
Fractional positions:
1 Li 0.750 0.750 0.750
2 Ga 0.500 0.500 0.500
3 Cu 0.250 0.250 0.250
4 Er 0.000 0.000 0.000

Output
- Fermi-level density of states: 0.209 states/eV/atom
- Volume: 66.1 Å³/cell
- Magnetization: 0.0 μB per formula unit
- Uncorrected energy: -3.776 eV/atom



Below is crystalline Li3Er2GaCu12 at its relaxed geometry, with properties calculated at the PBE level.

a = 6.487 Å, b = 6.487 Å, c = 6.487 Å
α = 83.55°, β = 83.55°, γ = 83.55°
Fractional positions:
1 Cu 0.425 0.853 0.425
2 Cu 0.575 0.147 0.575
3 Cu 0.799 0.799 0.272
4 Cu 0.799 0.272 0.799
5 Cu 0.425 0.425 0.853
6 Cu 0.201 0.728 0.201
7 Cu 0.201 0.201 0.728
8 Cu 0.147 0.575 0.575
9 Cu 0.272 0.799 0.799
10 Cu 0.575 0.575 0.147
11 Cu 0.728 0.201 0.201
12 Cu 0.853 0.425 0.425
13 Li 0.000 0.000 0.500
14 Li 0.500 0.000 0.000
15 Li 0.000 0.500 0.000
16 Er 0.287 0.287 0.287
17 Er 0.713 0.713 0.713
18 Ga 0.000 0.000 0.000

Output
- Fermi-level density of states: 0.467 states/eV/atom
- Volume: 268.2 Å³/cell
- Magnetization: 0.0 μB per formula unit
- Uncorrected energy: -3.737 eV/atom



Below is crystalline ErLuGaCu at its relaxed geometry, with properties calculated at the PBE level.

a = 4.921 Å, b = 4.921 Å, c = 4.921 Å
α = 60.00°, β = 60.00°, γ = 60.00°
Fractional positions:
1 Ga 0.000 0.000 0.000
2 Lu 0.750 0.750 0.750
3 Cu 0.500 0.500 0.500
4 Er 0.250 0.250 0.250

Output
- Fermi-level density of states: 0.649 states/eV/atom
- Volume: 84.2 Å³/cell
- Magnetization: 0.0 μB per formula unit
- Uncorrected energy: -4.491 eV/atom



Below is crystalline ErMgGaCu at its relaxed geometry, with properties calculated at the PBE level.

a = 4.750 Å, b = 4.750 Å, c = 4.750 Å
α = 60.00°, β = 60.00°, γ = 60.00°
Fractional positions:
1 Ga 0.750 0.750 0.750
2 Mg 0.500 0.500 0.500
3 Cu 0.250 0.250 0.250
4 Er 0.000 0.000 0.000

Output
- Fermi-level density of states: 0.568 states/eV/atom
- Volume: 75.8 Å³/cell
- Magnetization: 0.0 μB per formula unit
- Uncorrected energy: -3.684 eV/atom



Below is crystalline Er2MgGa4Cu3 at its relaxed geometry, with properties calculated at the PBE level.

a = 4.034 Å, b = 4.034 Å, c = 11.020 Å
α = 90.00°, β = 90.00°, γ = 90.00°
Fractional positions:
1 Ga 0.000 0.000 0.000
2 Ga 0.000 0.500 0.345
3 Ga 0.500 0.000 0.655
4 Ga 0.500 0.500 0.000
5 Cu 0.000 0.500 0.130
6 Cu 0.000 0.000 0.500
7 Cu 0.500 0.000 0.870
8 Er 0.000 0.500 0.769
9 Er 0.500 0.000 0.231
10 Mg 0.500 0.500 0.500

Output
- Fermi-level density of states: 0.484 states/eV/atom
- Volume: 179.3 Å³/cell
- Magnetization: 0.0 μB per formula unit
- Uncorrected energy: -3.910 eV/atom



Below is crystalline ErMg2Ga2Cu at its relaxed geometry, with properties calculated at the PBE level.

a = 5.209 Å, b = 5.209 Å, c = 6.401 Å
α = 114.01°, β = 114.01°, γ = 90.00°
Fractional positions:
1 Er 0.500 0.500 0.000
2 Mg 0.750 0.250 0.500
3 Mg 0.250 0.750 0.500
4 Ga 0.780 0.780 0.561
5 Ga 0.220 0.220 0.439
6 Cu 0.000 0.000 0.000

Output
- Fermi-level density of states: 0.699 states/eV/atom
- Volume: 142.0 Å³/cell
- Magnetization: 0.0 μB per formula unit
- Uncorrected energy: -2.803 eV/atom



Below is crystalline NdEr2Ga2Cu2 at its relaxed geometry, with properties calculated at the PBE level.

a = 4.418 Å, b = 4.418 Å, c = 9.450 Å
α = 76.48°, β = 76.48°, γ = 60.00°
Fractional positions:
1 Ga 0.258 0.258 0.225
2 Ga 0.742 0.742 0.775
3 Er 0.126 0.126 0.623
4 Er 0.874 0.874 0.377
5 Nd 0.000 0.000 0.000
6 Cu 0.406 0.406 0.783
7 Cu 0.594 0.594 0.217

Output
- Fermi-level density of states: 0.673 states/eV/atom
- Volume: 153.8 Å³/cell
- Magnetization: 0.0 μB per formula unit
- Uncorrected energy: -4.408 eV/atom



Below is crystalline NdErGaCu at its relaxed geometry, with properties calculated at the PBE level.

a = 5.069 Å, b = 5.069 Å, c = 5.069 Å
α = 60.00°, β = 60.00°, γ = 60.00°
Fractional positions:
1 Cu 0.250 0.250 0.250
2 Er 0.000 0.000 0.000
3 Ga 0.750 0.750 0.750
4 Nd 0.500 0.500 0.500

Output
- Fermi-level density of states: 0.896 states/eV/atom
- Volume: 92.1 Å³/cell
- Magnetization: 0.0 μB per formula unit
- Uncorrected energy: -4.487 eV/atom



Below is crystalline ErGaCuNi at its relaxed geometry, with properties calculated at the PBE level.

a = 4.209 Å, b = 4.210 Å, c = 5.018 Å
α = 114.69°, β = 90.00°, γ = 119.99°
Fractional positions:
1 Cu 0.405 0.810 0.857
2 Ga 0.128 0.256 0.026
3 Ni 0.820 0.640 0.102
4 Er 0.614 0.227 0.483

Output
- Excess energy over the best structure of this formula in the dataset: 0.000 eV/atom
- Fermi-level density of states: 0.663 states/eV/atom
- Volume: 67.5 Å³/cell
- Magnetization: 0.0 μB per formula unit



Below is crystalline ErGa2CuNi5 at its relaxed geometry, with properties calculated at the PBE level.

a = 3.709 Å, b = 3.709 Å, c = 9.351 Å
α = 90.00°, β = 90.00°, γ = 90.00°
Fractional positions:
1 Ga 0.500 0.500 0.130
2 Ga 0.500 0.500 0.870
3 Ni 0.000 0.500 0.285
4 Ni 0.500 0.000 0.715
5 Ni 0.500 0.000 0.285
6 Ni 0.500 0.500 0.500
7 Ni 0.000 0.500 0.715
8 Er 0.000 0.000 0.500
9 Cu 0.000 0.000 0.000

Output
- Fermi-level density of states: 0.551 states/eV/atom
- Volume: 128.6 Å³/cell
- Magnetization: 0.0 μB per formula unit
- Uncorrected energy: -4.945 eV/atom



Below is crystalline ErGaCuNi at its relaxed geometry, with properties calculated at the PBE level.

a = 4.482 Å, b = 4.482 Å, c = 4.482 Å
α = 60.00°, β = 60.00°, γ = 60.00°
Fractional positions:
1 Er 0.500 0.500 0.500
2 Cu 0.250 0.250 0.250
3 Ga 0.000 0.000 0.000
4 Ni 0.750 0.750 0.750

Output
- Excess energy over the best structure of this formula in the dataset: 0.067 eV/atom
- Fermi-level density of states: 0.751 states/eV/atom
- Volume: 63.7 Å³/cell
- Magnetization: 0.0 μB per formula unit



Below is crystalline Er2Ga4Cu3Ni at its relaxed geometry, with properties calculated at the PBE level.

a = 4.073 Å, b = 4.073 Å, c = 10.137 Å
α = 90.00°, β = 90.00°, γ = 90.00°
Fractional positions:
1 Ga 0.500 0.500 0.000
2 Ga 0.000 0.000 0.000
3 Ga 0.500 0.000 0.626
4 Ga 0.000 0.500 0.374
5 Ni 0.500 0.500 0.500
6 Er 0.500 0.000 0.256
7 Er 0.000 0.500 0.744
8 Cu 0.000 0.500 0.139
9 Cu 0.500 0.000 0.861
10 Cu 0.000 0.000 0.500

Output
- Fermi-level density of states: 0.535 states/eV/atom
- Volume: 168.2 Å³/cell
- Magnetization: 0.0 μB per formula unit
- Uncorrected energy: -4.381 eV/atom



Below is crystalline Er3GaCu2Ni9 at its relaxed geometry, with properties calculated at the PBE level.

a = 5.837 Å, b = 5.837 Å, c = 8.740 Å
α = 90.00°, β = 90.00°, γ = 120.00°
Fractional positions:
1 Er 0.000 0.000 0.000
2 Er 0.667 0.333 0.273
3 Er 0.333 0.667 0.727
4 Ni 0.500 0.000 0.000
5 Ni 0.000 0.500 0.000
6 Ni 0.500 0.500 0.000
7 Ni 0.867 0.133 0.722
8 Ni 0.867 0.734 0.722
9 Ni 0.266 0.133 0.722
10 Ni 0.133 0.867 0.278
11 Ni 0.133 0.266 0.278
12 Ni 0.734 0.867 0.278
13 Cu 0.667 0.333 0.816
14 Cu 0.333 0.667 0.184
15 Ga 0.000 0.000 0.500

Output
- Fermi-level density of states: 0.265 states/eV/atom
- Volume: 257.9 Å³/cell
- Magnetization: 0.0 μB per formula unit
- Uncorrected energy: -5.106 eV/atom



Below is crystalline ErGaCu2Ni2 at its relaxed geometry, with properties calculated at the PBE level.

a = 4.348 Å, b = 4.348 Å, c = 5.369 Å
α = 90.00°, β = 90.00°, γ = 90.00°
Fractional positions:
1 Er 0.000 0.000 0.500
2 Ni 0.000 0.500 0.000
3 Ni 0.500 0.000 0.000
4 Ga 0.000 0.000 0.000
5 Cu 0.500 0.500 0.258
6 Cu 0.500 0.500 0.742

Output
- Fermi-level density of states: 1.054 states/eV/atom
- Volume: 101.5 Å³/cell
- Magnetization: 0.0 μB per formula unit
- Uncorrected energy: -4.425 eV/atom



Below is crystalline Er2Ga3CuNi4 at its relaxed geometry, with properties calculated at the PBE level.

a = 3.794 Å, b = 3.794 Å, c = 10.971 Å
α = 90.00°, β = 90.00°, γ = 90.00°
Fractional positions:
1 Ga 0.000 0.000 0.500
2 Ga 0.500 0.000 0.867
3 Ga 0.000 0.500 0.133
4 Ni 0.500 0.500 0.000
5 Ni 0.000 0.000 0.000
6 Ni 0.000 0.500 0.352
7 Ni 0.500 0.000 0.648
8 Er 0.000 0.500 0.736
9 Er 0.500 0.000 0.264
10 Cu 0.500 0.500 0.500

Output
- Fermi-level density of states: 0.561 states/eV/atom
- Volume: 157.9 Å³/cell
- Magnetization: 0.0 μB per formula unit
- Uncorrected energy: -5.035 eV/atom



Below is crystalline ErGa4CuNi2 at its relaxed geometry, with properties calculated at the PBE level.

a = 4.108 Å, b = 4.108 Å, c = 8.826 Å
α = 76.54°, β = 76.54°, γ = 60.00°
Fractional positions:
1 Ga 0.600 0.600 0.201
2 Ga 0.129 0.129 0.614
3 Ga 0.400 0.400 0.799
4 Ga 0.871 0.871 0.386
5 Ni 0.764 0.764 0.707
6 Ni 0.236 0.236 0.293
7 Er 0.000 0.000 0.000
8 Cu 0.500 0.500 0.500

Output
- Fermi-level density of states: 0.429 states/eV/atom
- Volume: 124.2 Å³/cell
- Magnetization: 0.0 μB per formula unit
- Uncorrected energy: -4.427 eV/atom



Below is crystalline Er2GaCu12Ni3 at its relaxed geometry, with properties calculated at the PBE level.

a = 6.352 Å, b = 6.352 Å, c = 6.352 Å
α = 83.01°, β = 83.01°, γ = 83.01°
Fractional positions:
1 Cu 0.800 0.800 0.280
2 Cu 0.576 0.576 0.148
3 Cu 0.280 0.800 0.800
4 Cu 0.200 0.200 0.720
5 Cu 0.800 0.280 0.800
6 Cu 0.200 0.720 0.200
7 Cu 0.720 0.200 0.200
8 Cu 0.424 0.852 0.424
9 Cu 0.424 0.424 0.852
10 Cu 0.852 0.424 0.424
11 Cu 0.148 0.576 0.576
12 Cu 0.576 0.148 0.576
13 Ga 0.000 0.000 0.000
14 Ni 0.500 0.000 0.000
15 Ni 0.000 0.500 0.000
16 Ni 0.000 0.000 0.500
17 Er 0.255 0.255 0.255
18 Er 0.745 0.745 0.745

Output
- Fermi-level density of states: 0.434 states/eV/atom
- Volume: 251.1 Å³/cell
- Magnetization: 0.0 μB per formula unit
- Uncorrected energy: -4.389 eV/atom



Below is crystalline ErGaCu2Ni at its relaxed geometry, with properties calculated at the PBE level.

a = 3.650 Å, b = 3.960 Å, c = 6.152 Å
α = 108.77°, β = 107.25°, γ = 90.00°
Fractional positions:
1 Cu 0.702 0.202 0.404
2 Cu 0.050 0.050 0.100
3 Er 0.435 0.435 0.870
4 Ga 0.190 0.690 0.380
5 Ni 0.835 0.835 0.671

Output
- Fermi-level density of states: 0.620 states/eV/atom
- Volume: 79.9 Å³/cell
- Magnetization: 0.0 μB per formula unit
- Uncorrected energy: -4.644 eV/atom



Below is crystalline Er2Ga4CuNi3 at its relaxed geometry, with properties calculated at the PBE level.

a = 3.958 Å, b = 3.958 Å, c = 10.447 Å
α = 90.00°, β = 90.00°, γ = 90.00°
Fractional positions:
1 Er 0.500 0.000 0.241
2 Er 0.000 0.500 0.759
3 Ni 0.000 0.000 0.500
4 Ni 0.500 0.000 0.863
5 Ni 0.000 0.500 0.137
6 Ga 0.000 0.000 0.000
7 Ga 0.000 0.500 0.364
8 Ga 0.500 0.000 0.636
9 Ga 0.500 0.500 0.000
10 Cu 0.500 0.500 0.500

Output
- Fermi-level density of states: 0.459 states/eV/atom
- Volume: 163.7 Å³/cell
- Magnetization: 0.0 μB per formula unit
- Uncorrected energy: -4.802 eV/atom



Below is crystalline Er4GaCu2Os at its relaxed geometry, with properties calculated at the PBE level.

a = 4.878 Å, b = 4.878 Å, c = 8.469 Å
α = 73.26°, β = 73.26°, γ = 60.00°
Fractional positions:
1 Er 0.380 0.380 0.859
2 Er 0.871 0.871 0.388
3 Er 0.129 0.129 0.612
4 Er 0.620 0.620 0.141
5 Ga 0.000 0.000 0.000
6 Cu 0.254 0.254 0.239
7 Cu 0.746 0.746 0.761
8 Os 0.500 0.500 0.500

Output
- Fermi-level density of states: 0.505 states/eV/atom
- Volume: 164.6 Å³/cell
- Magnetization: 0.0 μB per formula unit
- Uncorrected energy: -5.482 eV/atom